(1)
Material: CaAcPr2
Method: DFT, PBE-GGA
State: relaxed

distance to the lowest polymorph of the same formula = 76 meV/atom
formation energy = 0.118 eV per atom

```
CaAcPr2
1.0
0.000 4.288 4.288
4.288 0.000 4.288
4.288 4.288 0.000
Ca Ac Pr
1 1 2
Direct
0.000 0.000 0.000
0.500 0.500 0.500
0.250 0.250 0.250
0.750 0.750 0.750
```

***

(2)
Material: Ca3AcPr6
Method: DFT, PBE-GGA
State: relaxed

formation energy = 0.210 eV per atom

```
Ca3AcPr6
1.0
6.895 0.000 0.000
-3.447 5.971 0.000
0.000 0.000 9.612
Ca Ac Pr
3 1 6
Direct
0.000 0.000 0.000
0.333 0.667 0.000
0.667 0.333 0.000
0.000 0.000 0.500
0.000 0.424 0.316
0.000 0.576 0.684
0.424 0.000 0.316
0.424 0.424 0.684
0.576 0.000 0.684
0.576 0.576 0.316
```

***

(3)
Material: CaAc7Pr3
Method: DFT, PBE-GGA
State: relaxed

distance to the lowest polymorph of the same formula = 5 meV/atom
formation energy = 0.231 eV per atom

```
CaAc7Pr3
1.0
-3.294 5.829 6.273
3.294 -5.829 6.273
3.294 5.829 -6.273
Ca Ac Pr
1 7 3
Direct
0.000 0.000 0.000
0.000 0.500 0.500
0.102 0.295 0.807
0.310 0.000 0.310
0.489 0.295 0.193
0.511 0.705 0.807
0.690 0.000 0.690
0.898 0.705 0.193
0.280 0.780 0.500
0.500 0.500 0.000
0.720 0.220 0.500
```

***

Number 1: DOS at the Fermi energy 1.846 states/eV per atom, size of the total moment 0.0 μB per cell, DFT total energy -3.799 eV per atom. Number 2: DOS at the Fermi energy 1.509 states/eV per atom, size of the total moment 0.0 μB per cell, DFT total energy -3.669 eV per atom. Number 3: DOS at the Fermi energy 1.587 states/eV per atom, size of the total moment 0.0 μB per cell, DFT total energy -3.869 eV per atom.